[1]
## LaSmNiRu (GGA-PBE)

Data for LaSmNiRu after structural relaxation.

The structure in POSCAR format:
```
LaSmNiRu
1.0
4.0031 0.0000 0.0000
0.0000 4.0898 0.0000
-2.0016 0.0000 5.5257
La Sm Ni Ru
1 1 1 1
Direct
0.8590 0.5000 0.7180 La
0.1402 0.0000 0.2804 Sm
0.5708 0.5000 0.1415 Ni
0.4300 0.0000 0.8600 Ru
```

Output
Uncorrected energy, eV per atom: -6.46
DFT formation energy, kJ/mol of formula units: -108

[2]
## SrLaNi2Ru (GGA-PBE)

Data for SrLaNi2Ru after structural relaxation.

The structure in POSCAR format:
```
SrLaNi2Ru
1.0
-3.2506 3.5146 -0.6652
-2.9817 -3.2201 -2.4432
-2.1360 -1.1863 4.1703
Ru Ni Sr La
1 2 1 1
Direct
0.0000 0.0000 0.0000 Ru
0.0000 0.0000 0.5000 Ni
0.5000 0.0000 0.0000 Ni
0.0000 0.5000 0.0000 Sr
0.5000 0.5000 0.5000 La
```

Output
Uncorrected energy, eV per atom: -4.86
DFT formation energy, kJ/mol of formula units: 306